[1]
Crystalline RbZn3H at its relaxed geometry, computed with PBEsol.

```
data_RbZn3H
_chemical_formula_sum 'Rb1 Zn3 H1'
_space_group_name_H-M_alt 'P m -3 m'
_space_group_IT_number 221
_space_group_name_Hall '-P 4 2 3'
_cell_length_a 4.6834
_cell_length_b 4.6834
_cell_length_c 4.6834
_cell_angle_alpha 90.00
_cell_angle_beta 90.00
_cell_angle_gamma 90.00
loop_
_atom_site_label
_atom_site_type_symbol
_atom_site_fract_x
_atom_site_fract_y
_atom_site_fract_z
Rb1 Rb 0.0000 0.0000 0.0000
Zn1 Zn 0.0000 0.5000 0.5000
H1 H 0.5000 0.5000 0.5000
```

Properties
spin magnetization: 0.001 μB per cell
DOS at the Fermi energy: 0.383 states/eV/atom
final energy: -6.14 eV per formula unit

[2]
Crystalline Rb2ZnH4 at its relaxed geometry, computed with PBEsol.

```
data_Rb2ZnH4
_chemical_formula_sum 'Rb8 Zn4 H16'
_space_group_name_H-M_alt 'P n m a'
_space_group_IT_number 62
_space_group_name_Hall '-P 2ac 2n'
_cell_length_a 7.9754
_cell_length_b 5.8849
_cell_length_c 10.3484
_cell_angle_alpha 90.00
_cell_angle_beta 90.00
_cell_angle_gamma 90.00
loop_
_atom_site_label
_atom_site_type_symbol
_atom_site_fract_x
_atom_site_fract_y
_atom_site_fract_z
Rb1 Rb 0.0168 0.2500 0.1852
Rb2 Rb 0.1594 0.7500 0.4055
Zn1 Zn 0.2421 0.7500 0.0832
H1 H 0.0363 0.7500 0.0949
H2 H 0.1834 0.0213 0.6544
H3 H 0.1927 0.2500 0.4318
```

Properties
spin magnetization: 0.000 μB per cell
DOS at the Fermi energy: 0.000 states/eV/atom
final energy: -18.48 eV per formula unit

[3]
Crystalline RbZrH2 at its relaxed geometry, computed with PBEsol.

```
data_RbZrH2
_chemical_formula_sum 'Rb4 Zr4 H8'
_space_group_name_H-M_alt 'F m -3 m'
_space_group_IT_number 225
_space_group_name_Hall '-F 4 2 3'
_cell_length_a 6.3247
_cell_length_b 6.3247
_cell_length_c 6.3247
_cell_angle_alpha 90.00
_cell_angle_beta 90.00
_cell_angle_gamma 90.00
loop_
_atom_site_label
_atom_site_type_symbol
_atom_site_fract_x
_atom_site_fract_y
_atom_site_fract_z
Rb1 Rb 0.0000 0.0000 0.0000
Zr1 Zr 0.0000 0.0000 0.5000
H1 H 0.2500 0.2500 0.2500
```

Properties
spin magnetization: 10.384 μB per cell
DOS at the Fermi energy: 0.629 states/eV/atom
final energy: -12.78 eV per formula unit

[4]
Crystalline Re3H at its relaxed geometry, computed with PBEsol.

```
data_Re3H
_chemical_formula_sum 'Re12 H4'
_space_group_name_H-M_alt 'F m -3 m'
_space_group_IT_number 225
_space_group_name_Hall '-F 4 2 3'
_cell_length_a 5.9220
_cell_length_b 5.9220
_cell_length_c 5.9220
_cell_angle_alpha 90.00
_cell_angle_beta 90.00
_cell_angle_gamma 90.00
loop_
_atom_site_label
_atom_site_type_symbol
_atom_site_fract_x
_atom_site_fract_y
_atom_site_fract_z
Re1 Re 0.0000 0.0000 0.0000
Re2 Re 0.2500 0.2500 0.2500
H1 H 0.0000 0.0000 0.5000
```

Properties
spin magnetization: 0.000 μB per cell
DOS at the Fermi energy: 0.750 states/eV/atom
final energy: -40.00 eV per formula unit

[5]
Crystalline ReHRh2 at its relaxed geometry, computed with PBEsol.

```
data_ReHRh2
_chemical_formula_sum 'Re4 H4 Rh8'
_space_group_name_H-M_alt 'F m -3 m'
_space_group_IT_number 225
_space_group_name_Hall '-F 4 2 3'
_cell_length_a 5.8322
_cell_length_b 5.8322
_cell_length_c 5.8322
_cell_angle_alpha 90.00
_cell_angle_beta 90.00
_cell_angle_gamma 90.00
loop_
_atom_site_label
_atom_site_type_symbol
_atom_site_fract_x
_atom_site_fract_y
_atom_site_fract_z
Re1 Re 0.0000 0.0000 0.0000
H1 H 0.0000 0.0000 0.5000
Rh1 Rh 0.2500 0.2500 0.2500
```

Properties
spin magnetization: 1.544 μB per cell
DOS at the Fermi energy: 1.506 states/eV/atom
final energy: -30.19 eV per formula unit

[6]
Crystalline ReSi2HRh at its relaxed geometry, computed with PBEsol.

```
data_ReSi2HRh
_chemical_formula_sum 'Re1 Si2 H1 Rh1'
_space_group_name_H-M_alt 'P 4/m m m'
_space_group_IT_number 123
_space_group_name_Hall '-P 4 2'
_cell_length_a 4.5726
_cell_length_b 4.5726
_cell_length_c 3.0919
_cell_angle_alpha 90.00
_cell_angle_beta 90.00
_cell_angle_gamma 90.00
loop_
_atom_site_label
_atom_site_type_symbol
_atom_site_fract_x
_atom_site_fract_y
_atom_site_fract_z
Re1 Re 0.0000 0.0000 0.0000
Si1 Si 0.0000 0.5000 0.5000
H1 H 0.5000 0.5000 0.0000
Rh1 Rh 0.5000 0.5000 0.5000
```

Properties
spin magnetization: 0.520 μB per cell
DOS at the Fermi energy: 0.941 states/eV/atom
final energy: -33.46 eV per formula unit

[7]
Crystalline SrRe2HRh at its relaxed geometry, computed with PBEsol.

```
data_SrRe2HRh
_chemical_formula_sum 'Sr1 Re2 H1 Rh1'
_space_group_name_H-M_alt 'P 4/m m m'
_space_group_IT_number 123
_space_group_name_Hall '-P 4 2'
_cell_length_a 4.6177
_cell_length_b 4.6177
_cell_length_c 5.9355
_cell_angle_alpha 90.00
_cell_angle_beta 90.00
_cell_angle_gamma 90.00
loop_
_atom_site_label
_atom_site_type_symbol
_atom_site_fract_x
_atom_site_fract_y
_atom_site_fract_z
Sr1 Sr 0.0000 0.0000 0.0000
Re1 Re 0.0000 0.5000 0.5000
H1 H 0.5000 0.5000 0.0000
Rh1 Rh 0.0000 0.0000 0.5000
```

Properties
spin magnetization: 3.190 μB per cell
DOS at the Fermi energy: 1.174 states/eV/atom
final energy: -30.14 eV per formula unit

[8]
Crystalline ReHS3 at its relaxed geometry, computed with PBEsol.

```
data_ReHS3
_chemical_formula_sum 'Re1 H1 S3'
_space_group_name_H-M_alt 'P m -3 m'
_space_group_IT_number 221
_space_group_name_Hall '-P 4 2 3'
_cell_length_a 3.8832
_cell_length_b 3.8832
_cell_length_c 3.8832
_cell_angle_alpha 90.00
_cell_angle_beta 90.00
_cell_angle_gamma 90.00
loop_
_atom_site_label
_atom_site_type_symbol
_atom_site_fract_x
_atom_site_fract_y
_atom_site_fract_z
Re1 Re 0.0000 0.0000 0.0000
H1 H 0.5000 0.5000 0.5000
S1 S 0.0000 0.5000 0.5000
```

Properties
spin magnetization: 0.001 μB per cell
DOS at the Fermi energy: 0.764 states/eV/atom
final energy: -24.06 eV per formula unit

[9]
Crystalline ScRe2SbH at its relaxed geometry, computed with PBEsol.

```
data_ScRe2SbH
_chemical_formula_sum 'Sc1 Re2 Sb1 H1'
_space_group_name_H-M_alt 'P 4/m m m'
_space_group_IT_number 123
_space_group_name_Hall '-P 4 2'
_cell_length_a 3.9153
_cell_length_b 3.9153
_cell_length_c 4.6655
_cell_angle_alpha 90.00
_cell_angle_beta 90.00
_cell_angle_gamma 90.00
loop_
_atom_site_label
_atom_site_type_symbol
_atom_site_fract_x
_atom_site_fract_y
_atom_site_fract_z
Sc1 Sc 0.0000 0.0000 0.0000
Re1 Re 0.0000 0.5000 0.5000
Sb1 Sb 0.5000 0.5000 0.0000
H1 H 0.5000 0.5000 0.5000
```

Properties
spin magnetization: 0.000 μB per cell
DOS at the Fermi energy: 0.874 states/eV/atom
final energy: -39.79 eV per formula unit

[10]
Crystalline ReSb2TeH at its relaxed geometry, computed with PBEsol.

```
data_ReSb2TeH
_chemical_formula_sum 'Re1 Sb2 Te1 H1'
_space_group_name_H-M_alt 'P 4/m m m'
_space_group_IT_number 123
_space_group_name_Hall '-P 4 2'
_cell_length_a 4.2453
_cell_length_b 4.2453
_cell_length_c 5.0662
_cell_angle_alpha 90.00
_cell_angle_beta 90.00
_cell_angle_gamma 90.00
loop_
_atom_site_label
_atom_site_type_symbol
_atom_site_fract_x
_atom_site_fract_y
_atom_site_fract_z
Re1 Re 0.0000 0.0000 0.0000
Sb1 Sb 0.0000 0.5000 0.5000
Te1 Te 0.5000 0.5000 0.0000
H1 H 0.5000 0.5000 0.5000
```

Properties
spin magnetization: 0.582 μB per cell
DOS at the Fermi energy: 0.942 states/eV/atom
final energy: -23.98 eV per formula unit

[11]
Crystalline ScRe2H at its relaxed geometry, computed with PBEsol.

```
data_ScRe2H
_chemical_formula_sum 'Sc4 Re8 H4'
_space_group_name_H-M_alt 'F m -3 m'
_space_group_IT_number 225
_space_group_name_Hall '-F 4 2 3'
_cell_length_a 6.0099
_cell_length_b 6.0099
_cell_length_c 6.0099
_cell_angle_alpha 90.00
_cell_angle_beta 90.00
_cell_angle_gamma 90.00
loop_
_atom_site_label
_atom_site_type_symbol
_atom_site_fract_x
_atom_site_fract_y
_atom_site_fract_z
Sc1 Sc 0.0000 0.0000 0.0000
Re1 Re 0.2500 0.2500 0.2500
H1 H 0.0000 0.0000 0.5000
```

Properties
spin magnetization: 0.000 μB per cell
DOS at the Fermi energy: 1.551 states/eV/atom
final energy: -31.12 eV per formula unit

[12]
Crystalline ScReH2 at its relaxed geometry, computed with PBEsol.

```
data_ScReH2
_chemical_formula_sum 'Sc4 Re4 H8'
_space_group_name_H-M_alt 'F m -3 m'
_space_group_IT_number 225
_space_group_name_Hall '-F 4 2 3'
_cell_length_a 5.3858
_cell_length_b 5.3858
_cell_length_c 5.3858
_cell_angle_alpha 90.00
_cell_angle_beta 90.00
_cell_angle_gamma 90.00
loop_
_atom_site_label
_atom_site_type_symbol
_atom_site_fract_x
_atom_site_fract_y
_atom_site_fract_z
Sc1 Sc 0.0000 0.0000 0.0000
Re1 Re 0.0000 0.0000 0.5000
H1 H 0.2500 0.2500 0.2500
```

Properties
spin magnetization: 0.001 μB per cell
DOS at the Fermi energy: 0.557 states/eV/atom
final energy: -24.71 eV per formula unit
relative energy among the computed polymorphs: 536 meV/atom

[13]
Crystalline Sc3ReH at its relaxed geometry, computed with PBEsol.

```
data_Sc3ReH
_chemical_formula_sum 'Sc3 Re1 H1'
_space_group_name_H-M_alt 'P m -3 m'
_space_group_IT_number 221
_space_group_name_Hall '-P 4 2 3'
_cell_length_a 5.0030
_cell_length_b 5.0030
_cell_length_c 5.0030
_cell_angle_alpha 90.00
_cell_angle_beta 90.00
_cell_angle_gamma 90.00
loop_
_atom_site_label
_atom_site_type_symbol
_atom_site_fract_x
_atom_site_fract_y
_atom_site_fract_z
Sc1 Sc 0.0000 0.0000 0.5000
Re1 Re 0.0000 0.0000 0.0000
H1 H 0.5000 0.5000 0.5000
```

Properties
spin magnetization: 0.000 μB per cell
DOS at the Fermi energy: 0.762 states/eV/atom
final energy: -32.34 eV per formula unit

[14]
Crystalline ScReH2 at its relaxed geometry, computed with PBEsol.

```
data_ScReH2
_chemical_formula_sum 'Sc4 Re4 H8'
_space_group_name_H-M_alt 'I -4 2 d'
_space_group_IT_number 122
_space_group_name_Hall 'I -4 2bw'
_cell_length_a 4.1969
_cell_length_b 4.1969
_cell_length_c 9.1564
_cell_angle_alpha 90.00
_cell_angle_beta 90.00
_cell_angle_gamma 90.00
loop_
_atom_site_label
_atom_site_type_symbol
_atom_site_fract_x
_atom_site_fract_y
_atom_site_fract_z
Sc1 Sc 0.0000 0.0000 0.0000
Re1 Re 0.0000 0.0000 0.5000
H1 H 0.2116 0.2500 0.6250
```

Properties
spin magnetization: 0.002 μB per cell
DOS at the Fermi energy: 0.592 states/eV/atom
final energy: -26.85 eV per formula unit
relative energy among the computed polymorphs: 0 meV/atom